# 1
Computed, not measured: a relaxed Ac2PuSn3Pd6 crystal at the PBE-GGA level of DFT. Values from VASP.

The structure in Quantum ESPRESSO input format:
```
&SYSTEM
  ibrav = 0, nat = 12, ntyp = 4
/
ATOMIC_SPECIES
Pd 106.42 Pd.upf
Ac 227.00 Ac.upf
Pu 244.00 Pu.upf
Sn 118.71 Sn.upf
ATOMIC_POSITIONS crystal
Pd 0.000 0.500 0.611
Pd 0.000 0.000 0.146
Pd 0.000 0.000 0.854
Pd 0.500 0.000 0.611
Pd 0.000 0.500 0.389
Pd 0.500 0.000 0.389
Ac 0.500 0.500 0.184
Ac 0.500 0.500 0.816
Pu 0.500 0.500 0.500
Sn 0.000 0.000 0.299
Sn 0.000 0.000 0.000
Sn 0.000 0.000 0.701
CELL_PARAMETERS angstrom
-0.862 -1.305 -3.956
-2.805 -2.805 1.536
-12.666 12.006 -1.201
```

* DOS at the Fermi energy: 1.43 states/eV/atom
* ΔH_f (0 K): -0.47 eV/atom
* crystal system: tetragonal
* symmetry: No. 123
* total DFT energy (no corrections): -5.95 eV/atom

---

# 2
Computed, not measured: a relaxed K4Sm3DySe8 crystal at the PBE-GGA level of DFT. Values from VASP.

The structure in Quantum ESPRESSO input format:
```
&SYSTEM
  ibrav = 0, nat = 16, ntyp = 4
/
ATOMIC_SPECIES
Sm 150.36 Sm.upf
Se 78.96 Se.upf
K 39.10 K.upf
Dy 162.50 Dy.upf
ATOMIC_POSITIONS crystal
Sm 0.000 0.500 0.500
Sm 0.500 0.500 0.000
Sm 0.500 0.500 0.500
Se 0.234 0.707 0.974
Se 0.766 0.293 0.026
Se 0.740 0.707 0.974
Se 0.263 0.291 0.527
Se 0.234 0.707 0.467
Se 0.737 0.709 0.473
Se 0.766 0.293 0.533
Se 0.260 0.293 0.026
K 0.000 0.000 0.500
K 0.500 0.000 0.500
K 0.000 0.000 0.000
K 0.500 0.000 0.000
Dy 0.000 0.500 0.000
CELL_PARAMETERS angstrom
-5.089 -1.919 -6.603
6.091 -6.176 -2.900
-2.927 -0.717 8.006
```

* DOS at the Fermi energy: 0.00 states/eV/atom
* crystal system: trigonal
* E_form (uncorrected): -1760 meV/atom
* symmetry: No. 166
* total DFT energy (no corrections): -4.95 eV/atom

---

# 3
Computed, not measured: a relaxed AlAgPt2 crystal at the PBE-GGA level of DFT. Values from VASP.

The structure in Quantum ESPRESSO input format:
```
&SYSTEM
  ibrav = 0, nat = 4, ntyp = 3
/
ATOMIC_SPECIES
Al 26.98 Al.upf
Pt 195.08 Pt.upf
Ag 107.87 Ag.upf
ATOMIC_POSITIONS crystal
Al 0.500 0.624 0.822
Pt 0.500 0.125 0.308
Pt 0.000 0.125 0.933
Ag 0.000 0.625 0.437
CELL_PARAMETERS angstrom
-1.128 -3.929 -2.006
0.322 -1.381 2.525
-4.573 0.794 1.016
```

* DOS at the Fermi energy: 0.34 states/eV/atom
* ΔH_f (0 K): -0.46 eV/atom
* crystal system: orthorhombic
* offset from the most stable computed form: 0.192 eV/atom
* symmetry: No. 25
* total DFT energy (no corrections): -5.13 eV/atom

---

# 4
Computed, not measured: a relaxed CeSm4S4 crystal at the PBE-GGA level of DFT. Values from VASP.

The structure in Quantum ESPRESSO input format:
```
&SYSTEM
  ibrav = 0, nat = 9, ntyp = 3
/
ATOMIC_SPECIES
Sm 150.36 Sm.upf
S 32.06 S.upf
Ce 140.12 Ce.upf
ATOMIC_POSITIONS crystal
Sm 0.603 0.595 0.200
Sm 0.197 0.200 0.406
Sm 0.397 0.405 0.800
Sm 0.803 0.800 0.594
S 0.901 0.401 0.797
S 0.302 0.797 0.600
S 0.099 0.599 0.203
S 0.698 0.203 0.400
Ce 0.000 0.000 0.000
CELL_PARAMETERS angstrom
-0.984 -2.742 4.848
4.842 -4.647 1.654
2.691 3.066 5.579
```

* DOS at the Fermi energy: 1.19 states/eV/atom
* crystal system: tetragonal
* E_form (uncorrected): -1757 meV/atom
* symmetry: No. 87
* total DFT energy (no corrections): -6.35 eV/atom

---

# 5
Computed, not measured: a relaxed NaLiPb2F6 crystal at the PBE-GGA level of DFT. Values from VASP.

The structure in Quantum ESPRESSO input format:
```
&SYSTEM
  ibrav = 0, nat = 10, ntyp = 4
/
ATOMIC_SPECIES
F 19.00 F.upf
Li 6.94 Li.upf
Na 22.99 Na.upf
Pb 207.20 Pb.upf
ATOMIC_POSITIONS crystal
F 0.123 0.462 0.771
F 0.644 0.123 0.771
F 0.509 0.170 0.332
F 0.988 0.509 0.332
F 0.462 0.644 0.770
F 0.170 0.988 0.333
Li 0.316 0.316 0.051
Na 0.816 0.816 0.552
Pb 0.541 0.541 0.378
Pb 0.092 0.091 0.725
CELL_PARAMETERS angstrom
-3.166 4.965 1.724
-5.888 -0.533 1.642
-1.732 0.775 5.510
```

* DOS at the Fermi energy: 0.00 states/eV/atom
* crystal system: trigonal
* E_form (uncorrected): -2541 meV/atom
* symmetry: No. 148
* total DFT energy (no corrections): -4.73 eV/atom

---

# 6
Computed, not measured: a relaxed HoTm5In2Bi crystal at the PBE-GGA level of DFT. Values from VASP.

The structure in Quantum ESPRESSO input format:
```
&SYSTEM
  ibrav = 0, nat = 18, ntyp = 4
/
ATOMIC_SPECIES
In 114.82 In.upf
Tm 168.93 Tm.upf
Bi 208.98 Bi.upf
Ho 164.93 Ho.upf
ATOMIC_POSITIONS crystal
In 0.111 0.389 0.000
In 0.889 0.611 0.000
In 0.389 0.889 0.000
In 0.611 0.111 0.000
Tm 0.576 0.660 0.737
Tm 0.000 0.000 0.000
Tm 0.160 0.076 0.737
Tm 0.340 0.840 0.263
Tm 0.500 0.500 0.000
Tm 0.076 0.576 0.737
Tm 0.660 0.160 0.737
Tm 0.424 0.340 0.263
Tm 0.840 0.924 0.263
Tm 0.924 0.424 0.263
Bi 0.250 0.250 0.500
Bi 0.750 0.750 0.500
Ho 0.250 0.750 0.500
Ho 0.750 0.250 0.500
CELL_PARAMETERS angstrom
8.537 0.000 0.000
0.000 8.537 0.000
-4.268 -4.268 7.035
```

* DOS at the Fermi energy: 1.23 states/eV/atom
* ΔH_f (0 K): -0.06 eV/atom
* crystal system: tetragonal
* symmetry: No. 140
* total DFT energy (no corrections): -4.09 eV/atom